NaCa2AsH PBE relaxed; space group = P4/mmm, No. 123; DOS(E_F) = 2.28 states/eV/f.u.
1.0
4.806 0.000 0.000
0.000 4.806 0.000
0.000 0.000 4.412
Na As Ca H
1 1 2 1
Direct
0.000 0.000 0.500
0.500 0.500 0.500
0.000 0.500 0.000
0.500 0.000 0.000
0.000 0.000 0.000

CaNiAsH2 PBE relaxed; space group = Cmcm, No. 63; DOS(E_F) = 1.54 states/eV/f.u.
1.0
-2.473 0.502 -2.826
-0.800 -4.979 2.355
-4.003 2.511 3.949
Ca Ni As H
2 2 2 4
Direct
0.710 0.420 0.750
0.290 0.580 0.250
0.000 0.000 0.000
0.000 0.000 0.500
0.434 0.868 0.750
0.566 0.132 0.250
0.149 0.298 0.954
0.851 0.702 0.046
0.149 0.298 0.546
0.851 0.702 0.454

Ca2NiAs2H4 PBE relaxed; space group = I4/mmm, No. 139; DOS(E_F) = 6.53 states/eV/f.u.
1.0
-2.598 0.124 4.950
3.643 -4.153 -0.863
3.656 4.095 -1.062
Ca Ni As H
2 1 2 4
Direct
0.500 0.750 0.250
0.500 0.250 0.750
0.000 0.000 0.000
0.000 0.664 0.664
0.000 0.336 0.336
0.000 0.814 0.186
0.628 0.814 0.814
0.000 0.186 0.814
0.372 0.186 0.186

In μB/atom, the magnetic moment values for the records above are, in order, 0.00; 0.00; 0.00.
In eV/atom, the total energy values for the records above are, in order, -3.185; -4.296; -3.864.